Compound: Gd2MnCoO6
Source: Alexandria
Functional: GGA+U
Structure: optimized geometry

Values from the calculation:
As for the calculated volume: 115.5 Å³/f.u. As for the symmetry: P2_1/c, No. 14. As for the total energy: -9.469 eV/atom.

POSCAR file:
```
Gd2MnCoO6
1.0
-4.7789 -2.8339 1.0039
-0.2098 -1.4649 -5.1340
3.8606 -7.7290 -3.4407
O Co Gd Mn
12 2 4 2
Direct
0.2089 0.2589 0.5548 O
0.2911 0.2589 0.0548 O
0.5326 0.3594 0.7428 O
0.1898 0.8456 0.9497 O
0.0326 0.6406 0.7572 O
0.9674 0.3594 0.2428 O
0.4674 0.6406 0.2572 O
0.8102 0.1544 0.0503 O
0.6898 0.1544 0.5503 O
0.7911 0.7411 0.4452 O
0.7089 0.7411 0.9452 O
0.3102 0.8456 0.4497 O
0.0000 0.0000 0.5000 Co
0.5000 0.0000 0.0000 Co
0.0687 0.7703 0.2483 Gd
0.5687 0.2297 0.2517 Gd
0.9313 0.2297 0.7517 Gd
0.4313 0.7703 0.7483 Gd
0.0000 0.5000 0.0000 Mn
0.5000 0.5000 0.5000 Mn
```